Material: Fe2H2Pd
Method: DFT, GGA-PBE
State: relaxed

Unit cell a=5.8642 b=5.8642 c=2.6389 alpha=90.00 beta=90.00 gamma=90.00
Closest atoms and distances in Å follow each position.
Space group P4/mbm (No. 127)
One atom of each set of equivalent atoms:
Fe (0.1386, 0.3614, 0.0000)  4 H 2.02
H (0.1216, 0.6216, 0.5000)  1 H 2.02, 4 Fe 2.02
Pd (0.0000, 0.0000, 0.5000)  4 H 2.33


Material: FeHPd
Method: DFT, GGA-PBE
State: relaxed

Unit cell a=4.7576 b=2.7425 c=9.0585 alpha=90.00 beta=100.17 gamma=90.00
Closest atoms and distances in Å follow each position.
Space group Cm (No. 8)
One atom of each set of equivalent atoms:
Fe (0.0000, 0.0000, 0.0000)  3 H 1.97-1.98
Fe (0.2423, 0.5000, 0.2392)  6 H 1.83-1.85
H (0.1105, 0.0000, 0.3427)  3 Fe 1.83
H (0.3745, 0.0000, 0.1329)  6 Fe 1.84-1.98
Pd (0.2539, 0.0000, 0.7649)  3 Fe 2.63, 9 Pd 2.74-2.85
Pd (0.4972, 0.0000, 0.4996)  3 H 2.11-2.12


no.,raw total energy (eV per atom),Fermi-level density of states (states/eV/atom),M_tot (μB per formula unit)
1,-5.495,0.306,5.19
2,-5.679,0.750,2.56